Compound: CsLaTa
Source: OQMD via LeMat-Bulk
Functional: PBE
Structure: optimized geometry

extended XYZ file:
```
3
Lattice="0.000 3.668 3.668 3.668 0.000 3.668 3.668 3.668 0.000" Properties=species:S:1:pos:R:3 pbc="T T T"
Cs 0.000 0.000 0.000
La 5.502 5.502 5.502
Ta 1.834 1.834 1.834
```

Calculated values
As for the energy above the lowest structure with this stoichiometry: 315 meV per atom. Its density is 7618 kg/m3. The calculation puts the volume at 99 Å³ per cell.


Compound: Zr3Co2W2
Source: OQMD via LeMat-Bulk
Functional: PBE
Structure: optimized geometry

extended XYZ file:
```
7
Lattice="2.258 1.303 7.276 -2.258 1.303 7.276 0.000 -2.607 7.276" Properties=species:S:1:pos:R:3 pbc="T T T"
Zr 0.000 0.000 0.000
Zr 0.000 0.000 5.384
Zr 0.000 0.000 16.397
Co 0.000 0.000 8.213
Co 0.000 0.000 18.914
W 0.000 0.000 2.782
W 0.000 0.000 13.499
```

Calculated values
Its density is 9812 kg/m3. The calculation puts the volume at 128 Å³ per cell. Its formation enthalpy at 0 K is 0.641 eV/atom.


Compound: LaDyH2Cl4
Source: OQMD via LeMat-Bulk
Functional: PBE
Structure: optimized geometry

extended XYZ file:
```
8
Lattice="3.890 0.000 0.000 -1.945 3.369 0.000 0.000 0.000 13.287" Properties=species:S:1:pos:R:3 pbc="T T T"
La 0.000 0.000 0.000
Dy 0.000 0.000 6.643
H 0.000 2.246 0.000
H 1.945 1.123 6.643
Cl 0.000 2.246 4.942
Cl 0.000 2.246 8.345
Cl 1.945 1.123 1.830
Cl 1.945 1.123 11.457
```

Calculated values
Its density is 4246 kg/m3. The calculation puts the volume at 174 Å³ per cell. The raw total energy is -37.928 eV for the cell shown.


Compound: TbHo2NiSn3Ir2
Source: OQMD via LeMat-Bulk
Functional: PBE
Structure: optimized geometry

extended XYZ file:
```
9
Lattice="3.804 0.000 0.000 0.000 6.529 3.760 0.000 -6.529 3.760" Properties=species:S:1:pos:R:3 pbc="T T T"
Tb 0.000 0.000 0.000
Ho 0.000 -2.655 4.590
Ho 0.000 2.655 4.590
Ni 0.000 0.000 3.066
Sn 1.902 -1.673 2.106
Sn 1.902 1.673 2.106
Sn 1.902 0.000 4.975
Ir 1.902 -4.339 3.057
Ir 1.902 4.339 3.057
```

Calculated values
Its density is 11450 kg/m3. The calculation puts the volume at 187 Å³ per cell. The raw total energy is -56.252 eV for the cell shown.


Number 4 is which compound? TbHo2NiSn3Ir2


Which formula does entry 4 have? TbHo2NiSn3Ir2